No. 1
# GGA-PBE Te2As2S, optimized geometry
data_Te2As2S
_cell_length_a 5.828
_cell_length_b 6.944
_cell_length_c 8.914
_cell_angle_alpha 70.37
_cell_angle_beta 72.64
_cell_angle_gamma 68.62
_space_group_name_H-M_alt 'P -1'
_space_group_IT_number 2
loop_
_space_group_symop_operation_xyz
'x,y,z'
'-x,-y,-z'
loop_
_atom_site_label
_atom_site_fract_x
_atom_site_fract_y
_atom_site_fract_z
_atom_site_occupancy
Te1 0.053 0.188 0.230 1
Te2 0.315 0.273 0.581 1
As1 0.171 0.766 0.385 1
As2 0.454 0.272 0.267 1
S1 0.332 0.638 0.153 1
# Formation energy without anion corrections (meV/atom): -10.5

No. 2
# GGA-PBE La2DyEr6, optimized geometry
data_La2DyEr6
_cell_length_a 16.960
_cell_length_b 9.792
_cell_length_c 3.477
_cell_angle_alpha 90.00
_cell_angle_beta 90.07
_cell_angle_gamma 90.00
_space_group_name_H-M_alt 'C 1 2/m 1'
_space_group_IT_number 12
loop_
_space_group_symop_operation_xyz
'x,y,z'
'-x,-y,-z'
'-x,y,-z'
'x,-y,z'
'x+1/2,y+1/2,z'
'-x+1/2,-y+1/2,-z'
'-x+1/2,y+1/2,-z'
'x+1/2,-y+1/2,z'
loop_
_atom_site_label
_atom_site_fract_x
_atom_site_fract_y
_atom_site_fract_z
_atom_site_occupancy
La1 0.167 0.000 0.000 1
Dy1 0.000 0.500 0.000 1
Er1 0.000 0.170 0.500 1
Er2 0.165 0.335 0.500 1
# E above lowest polymorph (eV/f.u.): 0.35
# Energy of formation from the pure elements (eV/f.u.): 0.7

no.,magnetization (μB/cell),V (Å³ per cell)
1,0.0,309.9
2,0.0,577.4